(1)
The following is a DFT calculation (PBE) of crystalline Cd3NiAu12 at its relaxed geometry.

Unit cell a=4.2025 b=4.2025 c=16.4346 alpha=90.00 beta=90.00 gamma=90.00
With the nearest neighbours (Å) after each atom.
Positions (direct):
Au 0.5000 0.0000 0.1145  8 Au 2.82-2.97, 2 Ni 2.82, 2 Cd 2.96
Au 0.5000 0.5000 0.5000  4 Cd 2.97, 8 Au 2.98
Au 0.5000 0.0000 0.3710  8 Au 2.97-2.98, 4 Cd 2.98-2.99
Au 0.5000 0.0000 0.8855  8 Au 2.82-2.97, 2 Ni 2.82, 2 Cd 2.96
Au 0.0000 0.5000 0.8855  2 Ni 2.82, 8 Au 2.82-2.97, 2 Cd 2.96
Au 0.5000 0.5000 0.7576  4 Cd 2.97, 8 Au 2.97-2.98
Au 0.0000 0.5000 0.1145  2 Ni 2.82, 8 Au 2.82-2.97, 2 Cd 2.96
Au 0.0000 0.5000 0.3710  8 Au 2.97-2.98, 4 Cd 2.98-2.99
Au 0.5000 0.5000 0.0000  8 Au 2.82, 4 Ni 2.97
Au 0.0000 0.5000 0.6290  8 Au 2.97-2.98, 4 Cd 2.98-2.99
Au 0.5000 0.5000 0.2424  4 Cd 2.97, 8 Au 2.97-2.98
Au 0.5000 0.0000 0.6290  8 Au 2.97-2.98, 4 Cd 2.98-2.99
Cd 0.0000 0.0000 0.5000  12 Au 2.97-2.98
Cd 0.0000 0.0000 0.2416  12 Au 2.96-2.99
Cd 0.0000 0.0000 0.7584  12 Au 2.96-2.99
Ni 0.0000 0.0000 0.0000  12 Au 2.82-2.97

Values from the calculation:
The space-group type is No. 123. Its uncorrected energy is -49.00 eV per formula unit. Its magnetization is 0.00 μB per cell.


(2)
The following is a DFT calculation (PBE) of crystalline Cd4NiAu at its relaxed geometry.

Unit cell a=5.4443 b=6.6516 c=6.6516 alpha=90.00 beta=90.00 gamma=90.00
With the nearest neighbours (Å) after each atom.
Positions (direct):
Cd 0.0000 0.6494 0.8188  2 Ni 2.71, 2 Au 2.96
Cd 0.5000 0.8188 0.6494  2 Ni 2.71, 2 Au 2.96
Cd 0.5000 0.1812 0.3506  2 Ni 2.71, 2 Au 2.96
Cd 0.0000 0.1812 0.6494  2 Ni 2.71, 2 Au 2.96
Cd 0.0000 0.3506 0.1812  2 Ni 2.71, 2 Au 2.96
Cd 0.5000 0.6494 0.1812  2 Ni 2.71, 2 Au 2.96
Cd 0.0000 0.8188 0.3506  2 Ni 2.71, 2 Au 2.96
Cd 0.5000 0.3506 0.8188  2 Ni 2.71, 2 Au 2.96
Ni 0.7500 0.5000 0.5000  8 Cd 2.71, 2 Ni 2.72
Ni 0.2500 0.5000 0.5000  8 Cd 2.71, 2 Ni 2.72
Au 0.2500 0.0000 0.0000  2 Au 2.72, 8 Cd 2.96
Au 0.7500 0.0000 0.0000  2 Au 2.72, 8 Cd 2.96

Values from the calculation:
The space-group type is No. 124. Its uncorrected energy is -13.11 eV per formula unit. Its magnetization is 0.00 μB per cell.


(3)
The following is a DFT calculation (PBE) of crystalline CdNi2Au2 at its relaxed geometry.

Unit cell a=3.8703 b=3.8703 c=6.4119 alpha=72.43 beta=72.43 gamma=90.00
With the nearest neighbours (Å) after each atom.
Positions (direct):
Ni 0.4028 0.4028 0.1944  1 Ni 2.25
Ni 0.5972 0.5972 0.8056  1 Ni 2.25
Au 0.2500 0.7500 0.5000  4 Ni 2.62, 4 Au 2.74
Au 0.7500 0.2500 0.5000  4 Ni 2.62, 4 Au 2.74
Cd 0.0000 0.0000 0.0000  8 Ni 2.96

Values from the calculation:
The space-group type is No. 139. Its uncorrected energy is -17.82 eV per formula unit. Its magnetization is 0.15 μB per cell.


(4)
The following is a DFT calculation (PBE) of crystalline Cd2NiAu at its relaxed geometry.

Unit cell a=4.2190 b=4.2190 c=5.2848 alpha=90.00 beta=90.00 gamma=120.00
With the nearest neighbours (Å) after each atom.
Positions (direct):
Ni 0.0000 0.0000 0.0000  2 Au 2.64, 6 Cd 2.67
Cd 0.6667 0.3333 0.7929  3 Ni 2.67, 3 Au 2.89
Cd 0.3333 0.6667 0.2071  3 Ni 2.67, 3 Au 2.89
Au 0.0000 0.0000 0.5000  2 Ni 2.64, 6 Cd 2.89

Values from the calculation:
The space-group type is No. 164. Its uncorrected energy is -10.80 eV per formula unit. Its magnetization is 0.00 μB per cell.


(5)
The following is a DFT calculation (PBE) of crystalline Cd2NiAu at its relaxed geometry.

Unit cell a=7.3944 b=7.3944 c=5.9235 alpha=51.38 beta=51.38 gamma=90.00
With the nearest neighbours (Å) after each atom.
Positions (direct):
Cd 0.3750 0.3988 0.7500  2 Ni 2.59, 2 Cd 2.81, 2 Au 2.83
Cd 0.8750 0.8512 0.7500  2 Ni 2.59, 2 Cd 2.81, 2 Au 2.83
Cd 0.1488 0.6250 0.2500  2 Ni 2.59, 2 Cd 2.81, 2 Au 2.83
Cd 0.6012 0.1250 0.2500  2 Ni 2.59, 2 Cd 2.81, 2 Au 2.83
Ni 0.5000 0.5000 0.0000  4 Cd 2.59, 2 Au 2.78
Ni 0.2500 0.7500 0.5000  4 Cd 2.59, 2 Au 2.78
Au 0.7500 0.2500 0.5000  2 Ni 2.78, 4 Cd 2.83
Au 0.0000 0.0000 0.0000  2 Ni 2.78, 4 Cd 2.83

Values from the calculation:
The space-group type is No. 122. Its uncorrected energy is -10.19 eV per formula unit. Its magnetization is 0.00 μB per cell.


(6)
The following is a DFT calculation (PBE) of crystalline Cd2NiAu at its relaxed geometry.

Unit cell a=5.0951 b=5.0951 c=5.0951 alpha=132.79 beta=132.79 gamma=68.98
With the nearest neighbours (Å) after each atom.
Positions (direct):
Cd 0.0000 0.0000 0.0000  4 Ni 2.89, 4 Au 2.93, 4 Cd 2.93
Cd 0.2500 0.7500 0.5000  4 Au 2.89, 4 Ni 2.93, 4 Cd 2.93
Au 0.7500 0.2500 0.5000  8 Cd 2.89-2.93, 4 Ni 2.93
Ni 0.5000 0.5000 0.0000  8 Cd 2.89-2.93, 4 Au 2.93

Values from the calculation:
The space-group type is No. 119. Its uncorrected energy is -10.90 eV per formula unit. Its magnetization is 0.00 μB per cell.


(7)
The following is a DFT calculation (PBE) of crystalline Cd4NiAu at its relaxed geometry.

Unit cell a=4.4723 b=4.4607 c=8.1177 alpha=73.78 beta=74.01 gamma=59.91
With the nearest neighbours (Å) after each atom.
Positions (direct):
Ni 0.0000 0.0000 0.0000  8 Cd 2.65-2.71
Au 0.5000 0.5000 0.5000  8 Cd 2.84-3.00
Cd 0.6303 0.6300 0.1095  3 Ni 2.71, 1 Au 3.00
Cd 0.3697 0.3700 0.8905  3 Ni 2.71, 1 Au 3.00
Cd 0.8856 0.8848 0.3440  1 Ni 2.65, 3 Au 2.84-2.85
Cd 0.1144 0.1152 0.6560  1 Ni 2.65, 3 Au 2.84-2.85

Values from the calculation:
The space-group type is No. 12. Its uncorrected energy is -12.77 eV per formula unit. Its magnetization is 0.00 μB per cell.


(8)
The following is a DFT calculation (PBE) of crystalline CdNi2Au at its relaxed geometry.

Unit cell a=8.8114 b=8.8114 c=8.8114 alpha=18.52 beta=18.52 gamma=18.52
With the nearest neighbours (Å) after each atom.
Positions (direct):
Ni 0.5005 0.5005 0.5005  3 Au 2.70, 3 Cd 2.73, 6 Ni 2.84
Ni 0.9995 0.9995 0.9995  3 Au 2.70, 3 Cd 2.73, 6 Ni 2.84
Cd 0.7500 0.7500 0.7500  6 Ni 2.73, 6 Cd 2.84
Au 0.2500 0.2500 0.2500  6 Ni 2.70, 6 Au 2.84

Values from the calculation:
The space-group type is No. 166. Its uncorrected energy is -15.01 eV per formula unit. Its magnetization is 0.00 μB per cell.